[1]
## SmTl3In3I8 (GGA-PBE)

Data for a relaxed SmTl3In3I8 crystal.

Lattice parameters (Å, degrees): 10.003 10.258 9.942 122.60 90.00 119.18
Last column: magnetic moment on the atom in μB.
Atoms (fractional coordinates):
Tl 0.000 0.000 0.000  0.00
Tl 0.500 0.500 0.000  0.00
Tl 0.000 0.500 0.000  0.00
I 0.748 0.496 0.744  0.00
I 0.776 0.997 0.719  0.00
I 0.252 0.504 0.256  0.00
I 0.778 0.003 0.281  0.00
I 0.224 0.003 0.281  0.00
I 0.779 0.557 0.282  0.00
I 0.222 0.997 0.719  0.00
I 0.221 0.443 0.718  0.00
In 0.500 0.500 0.500  0.01
In 0.500 0.000 0.500  0.00
In 0.000 0.500 0.500  0.01
Sm 0.000 0.000 0.500  0.13

## Properties
As for the space group: C2/m. The density of states at the Fermi level is 5.93 states/eV per cell. The uncorrected formation energy comes out at -65 kJ/mol of atoms. The calculation puts the spin magnetization at 0.30 μB per formula unit. Its calculated density is 5031 kg/m3.

[2]
## SmTl2InI6 (GGA-PBE)

Data for a relaxed SmTl2InI6 crystal.

Lattice parameters (Å, degrees): 8.637 8.636 9.024 61.38 61.38 59.97
Atoms (fractional coordinates):
In 0.818 0.818 0.546
I 0.569 0.207 0.250
I 0.430 0.685 0.769
I 0.974 0.569 0.250
I 0.685 0.115 0.770
I 0.115 0.430 0.770
I 0.207 0.974 0.250
Tl 0.014 0.015 0.957
Tl 0.524 0.523 0.429
Sm 0.325 0.325 0.025

## Properties
As for the space group: R3. The density of states at the Fermi level is 0.00 states/eV per cell. The uncorrected formation energy comes out at -88 kJ/mol of atoms. The calculation puts the spin magnetization at 0.00 μB per formula unit. Its calculated density is 4909 kg/m3.

[3]
## InSnI4 (GGA-PBE)

Data for a relaxed InSnI4 crystal.

Lattice parameters (Å, degrees): 8.801 9.105 9.060 120.16 119.06 90.00
Atoms (fractional coordinates):
I 0.760 0.753 0.007
I 0.252 0.750 0.504
I 0.252 0.253 0.504
I 0.753 0.247 0.993
I 0.247 0.753 0.007
I 0.748 0.747 0.496
I 0.748 0.250 0.496
I 0.240 0.247 0.993
Sn 0.500 0.000 0.000
Sn 0.500 0.500 0.000
In 0.000 0.000 0.500
In 0.500 0.000 0.500

## Properties
As for the space group: Imma. The polymorph energy (0 for the lowest one) comes out at 0.000 eV per atom. The density of states at the Fermi level is 7.54 states/eV per cell. The uncorrected formation energy comes out at -43 kJ/mol of atoms. The calculation puts the spin magnetization at 0.00 μB per formula unit. Its calculated density is 4740 kg/m3.

[4]
## In3SnI4 (GGA-PBE)

Data for a relaxed In3SnI4 crystal.

Lattice parameters (Å, degrees): 6.966 6.970 13.758 90.00 90.00 90.00
Last column: magnetic moment on the atom in μB.
Atoms (fractional coordinates):
I 0.564 0.248 0.500  0.01
I 0.065 0.251 0.761  0.00
I 0.565 0.749 0.261  0.00
I 0.065 0.251 0.239  0.00
I 0.061 0.749 0.500  0.01
I 0.565 0.749 0.739  0.00
I 0.561 0.251 0.000  0.01
I 0.064 0.752 0.000  0.01
In 0.066 0.751 0.250  0.00
In 0.565 0.751 0.000  0.00
In 0.566 0.249 0.250  0.00
In 0.065 0.249 0.500  0.00
In 0.566 0.249 0.750  0.00
In 0.066 0.751 0.750  0.00
Sn 0.063 0.252 0.000  0.27
Sn 0.563 0.748 0.500  0.27

## Properties
As for the space group: Pmn2_1. The density of states at the Fermi level is 3.93 states/eV per cell. The uncorrected formation energy comes out at -29 kJ/mol of atoms. The calculation puts the spin magnetization at 0.72 μB per formula unit. Its calculated density is 4826 kg/m3.